[1]
The following is a DFT calculation (PBE) of Ti3PbBr after structural relaxation.

abc: 4.730 4.730 4.730
angles: 90.00 90.00 90.00
Positions (direct):
Ti  0.000  0.000  0.500
Ti  0.000  0.500  0.000
Ti  0.500  0.000  0.000
Pb  0.500  0.500  0.500
Br  0.000  0.000  0.000

Output
Formation energy without anion corrections in meV per atom: 400.2
Energy above the most stable polymorph in this dataset in eV per atom: 0.0000

***

[2]
The following is a DFT calculation (PBE) of BaCe2O4 after structural relaxation.

abc: 6.182 6.182 11.609
angles: 90.00 90.00 146.24
Positions (direct):
Ba  0.112  0.888  0.750
Ba  0.888  0.112  0.250
Ce  0.369  0.631  0.569
Ce  0.369  0.631  0.931
Ce  0.631  0.369  0.069
Ce  0.631  0.369  0.431
O  0.000  0.000  0.000
O  0.000  0.000  0.500
O  0.263  0.737  0.103
O  0.263  0.737  0.397
O  0.447  0.553  0.750
O  0.553  0.447  0.250
O  0.737  0.263  0.603
O  0.737  0.263  0.897

Output
Formation energy without anion corrections in meV per atom: -3075.3
Energy above the most stable polymorph in this dataset in eV per atom: 0.0129

***

[3]
The following is a DFT calculation (PBE) of Pr2YP2N6 after structural relaxation.

abc: 6.756 6.756 6.756
angles: 48.95 48.95 48.95
Positions (direct):
Pr  0.208  0.208  0.208
Pr  0.792  0.792  0.792
Y  0.000  0.000  0.000
P  0.414  0.414  0.414
P  0.586  0.586  0.586
N  0.248  0.736  0.736
N  0.264  0.264  0.752
N  0.264  0.752  0.264
N  0.736  0.248  0.736
N  0.736  0.736  0.248
N  0.752  0.264  0.264

Output
Formation energy without anion corrections in meV per atom: -950.4

***

[4]
The following is a DFT calculation (PBE) of ReW3Au after structural relaxation.

abc: 4.738 4.738 4.738
angles: 90.00 90.00 90.00
Positions (direct):
Re  0.000  0.000  0.000
W  0.000  0.000  0.500
W  0.000  0.500  0.000
W  0.500  0.000  0.000
Au  0.500  0.500  0.500

Output
Energy of formation in kJ per mole of atoms: 191.8
Energy above the most stable polymorph in this dataset in eV per atom: 0.0000

***

[5]
The following is a DFT calculation (PBE) of Dy2YHg3 after structural relaxation.

abc: 5.260 5.260 12.941
angles: 90.00 90.00 120.00
Positions (direct):
Dy  0.000  0.000  0.000
Dy  0.000  0.000  0.500
Dy  0.333  0.667  0.167
Dy  0.667  0.333  0.833
Y  0.333  0.667  0.667
Y  0.667  0.333  0.333
Hg  0.000  0.000  0.250
Hg  0.000  0.000  0.750
Hg  0.333  0.667  0.417
Hg  0.333  0.667  0.917
Hg  0.667  0.333  0.083
Hg  0.667  0.333  0.583

Output
Energy of formation in kJ per mole of atoms: -47.2

***

[6]
The following is a DFT calculation (PBE) of La2SiNi after structural relaxation.

abc: 6.234 6.234 6.234
angles: 144.79 137.68 56.19
Positions (direct):
La  0.000  0.000  0.000
La  0.716  0.216  0.500
Si  0.409  0.409  0.000
Ni  0.277  0.777  0.500

Output
Formation energy without anion corrections in meV per atom: -482.7

***

[7]
The following is a DFT calculation (PBE) of LuSbPd2 after structural relaxation.

abc: 4.366 4.366 4.064
angles: 90.00 90.00 90.00
Positions (direct):
Lu  0.000  0.000  0.000
Sb  0.500  0.500  0.000
Pd  0.000  0.500  0.500
Pd  0.500  0.000  0.500

Output
Formation energy without anion corrections in meV per atom: -782.9
Energy above the most stable polymorph in this dataset in eV per atom: 0.0777

***

[8]
The following is a DFT calculation (PBE) of TaBi3B after structural relaxation.

abc: 5.489 5.489 5.489
angles: 90.00 90.00 90.00
Positions (direct):
Ta  0.000  0.000  0.000
Bi  0.000  0.000  0.500
Bi  0.000  0.500  0.000
Bi  0.500  0.000  0.000
B  0.500  0.500  0.500

Output
Energy of formation in kJ per mole of atoms: 137.9
Energy above the most stable polymorph in this dataset in eV per atom: 0.1317

***

[9]
The following is a DFT calculation (PBE) of HfTl3I after structural relaxation.

abc: 6.197 6.197 6.197
angles: 90.00 90.00 90.00
Positions (direct):
Hf  0.000  0.000  0.000
Tl  0.000  0.500  0.500
Tl  0.500  0.000  0.500
Tl  0.500  0.500  0.000
I  0.500  0.500  0.500

Output
Formation energy without anion corrections in meV per atom: 1095.4
Energy above the most stable polymorph in this dataset in eV per atom: 0.6552

***

[10]
The following is a DFT calculation (PBE) of HoCoH after structural relaxation.

abc: 7.424 7.424 7.424
angles: 29.40 29.40 29.40
Positions (direct):
Ho  0.094  0.094  0.094
Ho  0.906  0.906  0.906
Co  0.335  0.335  0.335
Co  0.665  0.665  0.665
H  0.199  0.199  0.199
H  0.801  0.801  0.801

Output
Energy above the most stable polymorph in this dataset in eV per atom: 0.0000

***

[11]
The following is a DFT calculation (PBE) of LiSbH3 after structural relaxation.

abc: 3.269 4.903 4.677
angles: 90.00 90.77 90.00
Positions (direct):
Li  0.000  0.000  0.000
Sb  0.500  0.921  0.500
H  0.056  0.408  0.072
H  0.500  0.566  0.500
H  0.944  0.408  0.928

Output
Energy above the most stable polymorph in this dataset in eV per atom: 0.0033

***

[12]
The following is a DFT calculation (PBE) of Nd4InIr2 after structural relaxation.

abc: 10.552 10.552 10.552
angles: 26.10 26.10 26.10
Positions (direct):
Nd  0.110  0.110  0.110
Nd  0.298  0.298  0.298
Nd  0.702  0.702  0.702
Nd  0.890  0.890  0.890
In  0.500  0.500  0.500
Ir  0.403  0.403  0.403
Ir  0.597  0.597  0.597

Output
Energy of formation in kJ per mole of atoms: -48.3

***

Number 1: N(E_F) 9.7 states/eV/cell, total magnetization 2.06 μB/f.u.. Number 2: N(E_F) 14.4 states/eV/cell, total magnetization 1.86 μB/f.u.. Number 3: N(E_F) 2.0 states/eV/cell, total magnetization 1.02 μB/f.u.. Number 4: N(E_F) 5.2 states/eV/cell, total magnetization 0.00 μB/f.u.. Number 5: N(E_F) 12.3 states/eV/cell, total magnetization 0.21 μB/f.u.. Number 6: N(E_F) 2.6 states/eV/cell, total magnetization 0.00 μB/f.u.. Number 7: N(E_F) 2.3 states/eV/cell, total magnetization 0.00 μB/f.u.. Number 8: N(E_F) 4.7 states/eV/cell, total magnetization 0.00 μB/f.u.. Number 9: N(E_F) 7.7 states/eV/cell, total magnetization 2.41 μB/f.u.. Number 10: N(E_F) 3.9 states/eV/cell, total magnetization 0.69 μB/f.u.. Number 11: N(E_F) 1.8 states/eV/cell, total magnetization 0.00 μB/f.u.. Number 12: N(E_F) 5.7 states/eV/cell, total magnetization 0.00 μB/f.u..